Computed, not measured: crystalline Na4TlPb2 at its relaxed geometry at the PBE level of DFT.

Cell: 9.321 9.321 9.321 Å, 33.47 33.47 33.47°
Atoms (fractional coordinates):
Na 0.117 0.117 0.117
Na 0.370 0.370 0.370
Na 0.630 0.630 0.630
Na 0.883 0.883 0.883
Tl 0.500 0.500 0.500
Pb 0.244 0.244 0.244
Pb 0.756 0.756 0.756

The polymorph energy (0 for the lowest one) comes out at 6.6 kJ/mol of atoms. The formation energy is -0.05 eV/atom. As for the density of states at the Fermi level: 0.605 states/eV/atom. The calculated volume comes out at 31.328 Å³ per atom.